DFT (PBE-GGA) results for a relaxed structure of HfCoBAu.

The structure belongs to space group F-43m (No. 216); the cell edges are 6.104, 6.104 and 6.104 Å and the angles 90.00°, 90.00° and 90.00°. The distinct sites, in fractional coordinates, are Hf at (0.000, 0.000, 0.000), Co at (0.000, 0.000, 0.500), B at (0.250, 0.250, 0.250) and Au at (0.250, 0.250, 0.750).

Its total magnetic moment is 0.16 μB per formula unit. As for the energy relative to the lowest polymorph listed for this composition: 0.000 eV/atom.